1.
# Cs6Rb2Li | Alexandria via LeMat-Bulk | PBE-GGA | relaxed
# energy of formation from the pure elements = 0.071 eV/atom
data_Cs6Rb2Li
_chemical_formula_sum 'Cs6 Rb2 Li1'
_space_group_name_H-M_alt 'P 1'
_space_group_IT_number 1
_cell_length_a 5.3837
_cell_length_b 12.9837
_cell_length_c 14.4636
_cell_angle_alpha 63.33
_cell_angle_beta 85.30
_cell_angle_gamma 79.49
loop_
_space_group_symop_operation_xyz
'x,y,z'
loop_
_atom_site_label
_atom_site_type_symbol
_atom_site_fract_x
_atom_site_fract_y
_atom_site_fract_z
_atom_site_occupancy
Cs1 Cs 0.1944 0.8414 0.6561 1
Cs2 Cs 0.8056 0.1586 0.3439 1
Cs3 Cs 0.3321 0.2993 0.0000 1
Cs4 Cs 0.1944 0.4975 0.3439 1
Cs5 Cs 0.8056 0.5025 0.6561 1
Cs6 Cs 0.6679 0.7007 0.0000 1
Rb1 Rb 0.5000 0.8721 0.2557 1
Rb2 Rb 0.5000 0.1279 0.7443 1
Li1 Li 0.0000 0.0000 0.0000 1

=====

2.
# CsRb2Li2 | Alexandria via LeMat-Bulk | PBE-GGA | relaxed
# energy of formation from the pure elements = 0.180 eV/atom
# distance to the lowest polymorph of the same formula = 0.09 eV per formula unit
data_CsRb2Li2
_chemical_formula_sum 'Cs1 Rb2 Li2'
_space_group_name_H-M_alt 'P 1'
_space_group_IT_number 1
_cell_length_a 6.3299
_cell_length_b 6.3299
_cell_length_c 9.3981
_cell_angle_alpha 70.32
_cell_angle_beta 70.32
_cell_angle_gamma 90.00
loop_
_space_group_symop_operation_xyz
'x,y,z'
loop_
_atom_site_label
_atom_site_type_symbol
_atom_site_fract_x
_atom_site_fract_y
_atom_site_fract_z
_atom_site_occupancy
Cs1 Cs 0.0000 0.0000 0.0000 1
Rb1 Rb 0.7500 0.2500 0.5000 1
Rb2 Rb 0.2500 0.7500 0.5000 1
Li1 Li 0.4105 0.4105 0.1790 1
Li2 Li 0.5895 0.5895 0.8210 1

=====

3.
# Cs8Rb3Li | Alexandria via LeMat-Bulk | PBE-GGA | relaxed
# energy of formation from the pure elements = 0.046 eV/atom
data_Cs8Rb3Li
_chemical_formula_sum 'Cs16 Rb6 Li2'
_space_group_name_H-M_alt 'P 1'
_space_group_IT_number 1
_cell_length_a 10.2287
_cell_length_b 16.4716
_cell_length_c 16.4716
_cell_angle_alpha 120.00
_cell_angle_beta 90.00
_cell_angle_gamma 90.00
loop_
_space_group_symop_operation_xyz
'x,y,z'
loop_
_atom_site_label
_atom_site_type_symbol
_atom_site_fract_x
_atom_site_fract_y
_atom_site_fract_z
_atom_site_occupancy
Cs1 Cs 0.9780 0.0484 0.5242 1
Cs2 Cs 0.9780 0.4758 0.9516 1
Cs3 Cs 0.9780 0.4758 0.5242 1
Cs4 Cs 0.4780 0.9516 0.4758 1
Cs5 Cs 0.4780 0.5242 0.0484 1
Cs6 Cs 0.4780 0.5242 0.4758 1
Cs7 Cs 0.7701 0.3700 0.1850 1
Cs8 Cs 0.7701 0.8150 0.6300 1
Cs9 Cs 0.7701 0.8150 0.1850 1
Cs10 Cs 0.2701 0.6300 0.8150 1
Cs11 Cs 0.2701 0.1850 0.3700 1
Cs12 Cs 0.2701 0.1850 0.8150 1
Cs13 Cs 0.6050 0.3333 0.6667 1
Cs14 Cs 0.1050 0.6667 0.3333 1
Cs15 Cs 0.0075 0.0000 0.0000 1
Cs16 Cs 0.5075 0.0000 0.0000 1
Rb1 Rb 0.7559 0.6777 0.8389 1
Rb2 Rb 0.7559 0.1611 0.3223 1
Rb3 Rb 0.7559 0.1611 0.8389 1
Rb4 Rb 0.2559 0.3223 0.1611 1
Rb5 Rb 0.2559 0.8389 0.6777 1
Rb6 Rb 0.2559 0.8389 0.1611 1
Li1 Li 0.1484 0.3333 0.6667 1
Li2 Li 0.6484 0.6667 0.3333 1

=====

4.
# Cs7Rb12Li | Alexandria via LeMat-Bulk | PBE-GGA | relaxed
# energy of formation from the pure elements = 0.074 eV/atom
data_Cs7Rb12Li
_chemical_formula_sum 'Cs7 Rb12 Li1'
_space_group_name_H-M_alt 'P 1'
_space_group_IT_number 1
_cell_length_a 8.9647
_cell_length_b 16.3568
_cell_length_c 16.3568
_cell_angle_alpha 116.74
_cell_angle_beta 100.53
_cell_angle_gamma 100.53
loop_
_space_group_symop_operation_xyz
'x,y,z'
loop_
_atom_site_label
_atom_site_type_symbol
_atom_site_fract_x
_atom_site_fract_y
_atom_site_fract_z
_atom_site_occupancy
Cs1 Cs 0.1098 0.7615 0.0003 1
Cs2 Cs 0.8905 0.0003 0.2388 1
Cs3 Cs 0.6517 0.7612 0.7615 1
Cs4 Cs 0.5000 0.0000 0.0000 1
Cs5 Cs 0.3483 0.2388 0.2385 1
Cs6 Cs 0.1095 0.9997 0.7612 1
Cs7 Cs 0.8902 0.2385 0.9997 1
Rb1 Rb 0.0927 0.5924 0.1851 1
Rb2 Rb 0.0924 0.1851 0.5927 1
Rb3 Rb 0.5633 0.6392 0.0003 1
Rb4 Rb 0.4370 0.0003 0.3612 1
Rb5 Rb 0.4997 0.4073 0.5924 1
Rb6 Rb 0.0759 0.6388 0.6392 1
Rb7 Rb 0.9241 0.3612 0.3608 1
Rb8 Rb 0.5003 0.5927 0.4076 1
Rb9 Rb 0.5630 0.9997 0.6388 1
Rb10 Rb 0.4367 0.3608 0.9997 1
Rb11 Rb 0.9076 0.8149 0.4073 1
Rb12 Rb 0.9073 0.4076 0.8149 1
Li1 Li 0.0000 0.0000 0.0000 1